RuW2Br | GGA-PBE | optimized geometry

Cell lengths 5.007, 5.007, 2.909 Å; angles 90.00, 90.00, 116.69 degrees
Fractional positions:
W 0.500 0.500 0.000
Br 0.500 0.000 0.500
Ru 0.000 0.500 0.500
W 0.000 0.000 0.000

Summary:
total DFT energy (no corrections)	-8.1279	eV per atom
space-group type	Cmmm
excess energy over the best structure of this formula in the dataset	595.8	meV/atom
energy relative to the elements, uncorrected	1.0859	eV/atom
total magnetic moment	0.0000	μB/atom



La2Ga6Co | GGA-PBE | optimized geometry

Cell lengths 6.312, 6.312, 6.312 Å; angles 60.00, 60.00, 60.00 degrees
Fractional positions:
Ga 0.278 0.278 0.722
La 0.250 0.250 0.250
Ga 0.722 0.278 0.722
Co 0.000 0.000 0.000
La 0.750 0.750 0.750
Ga 0.722 0.278 0.278
Ga 0.278 0.722 0.278
Ga 0.722 0.722 0.278
Ga 0.278 0.722 0.722

Summary:
total DFT energy (no corrections)	-4.4643	eV per atom
space-group type	Fm-3m
excess energy over the best structure of this formula in the dataset	0.0	meV/atom
total magnetic moment	0.0000	μB/atom
formation enthalpy at 0 K	-562	meV/atom